[1]
VASP calculation (PBE) on a geometry-optimized BeCd2In structure.

Computed properties:
Total magnetic moment = 0.00 μB/cell
Energy of formation from the pure elements = 0.235 eV/atom
Energy = -1.84 eV/atom
Crystal system = orthorhombic
Distance to the lowest polymorph of the same formula = 0.0 meV per atom

a = 2.946 Å, b = 4.323 Å, c = 12.881 Å
α = 90.00°, β = 90.00°, γ = 90.00°
Space group Imm2 (No. 44)
Unique sites:
Be 0.000 0.000 0.000 x2
Cd 0.000 0.000 0.501 x2
Cd 0.000 0.500 0.679 x2
In 0.000 0.500 0.315 x2

---

[2]
VASP calculation (PBE) on a geometry-optimized Be2CdIn structure.

Computed properties:
Total magnetic moment = 0.00 μB/cell
Energy of formation from the pure elements = 0.685 eV/atom
Energy = -2.09 eV/atom
Crystal system = orthorhombic
Distance to the lowest polymorph of the same formula = 300.5 meV per atom

a = 3.268 Å, b = 5.165 Å, c = 8.183 Å
α = 90.00°, β = 90.00°, γ = 90.00°
Space group Cmmm (No. 65)
Unique sites:
Be 0.000 0.000 0.244 x4
Cd 0.000 0.500 0.000 x2
In 0.000 0.500 0.500 x2

---

[3]
VASP calculation (PBE) on a geometry-optimized BeCd2In structure.

Computed properties:
Total magnetic moment = 0.00 μB/cell
Energy of formation from the pure elements = 0.445 eV/atom
Energy = -1.63 eV/atom
Crystal system = cubic
Distance to the lowest polymorph of the same formula = 210.0 meV per atom

a = 6.935 Å, b = 6.935 Å, c = 6.935 Å
α = 90.00°, β = 90.00°, γ = 90.00°
Space group F-43m (No. 216)
Unique sites:
Be 0.000 0.000 0.000 x4
Cd 0.000 0.000 0.500 x4
Cd 0.250 0.250 0.250 x4
In 0.250 0.250 0.750 x4